# K3TlHg2, relaxed, DFT PBE
# * energy: -7.26 eV/cell
# * energy of formation from the pure elements: -0.17 eV per atom
# * crystal system: monoclinic
# * energy above the lowest structure with this stoichiometry: 0 meV/atom
data_K3TlHg2
_chemical_formula_sum 'K3 Tl1 Hg2'
_symmetry_space_group_name_H-M 'P 1'
_symmetry_Int_Tables_number 1
_cell_length_a 4.746
_cell_length_b 5.500
_cell_length_c 9.883
_cell_angle_alpha 106.01
_cell_angle_beta 103.87
_cell_angle_gamma 90.00
loop_
_symmetry_equiv_pos_as_xyz
'x,y,z'
loop_
_atom_site_label
_atom_site_fract_x
_atom_site_fract_y
_atom_site_fract_z
K1 0.500 0.500 0.000
K2 0.181 0.681 0.362
K3 0.819 0.319 0.638
Hg1 0.379 0.878 0.756
Hg2 0.621 0.122 0.244
Tl1 0.000 0.000 0.000